This record from Alexandria via LeMat-Bulk describes a relaxed structure of YZnAu2. The functional is PBE.

Geometry as POSCAR:
```
YZnAu2
1.0
-4.638 -0.820 -4.080
0.584 1.706 5.965
4.427 3.770 2.240
Au Zn Y
2 1 1
Cartesian
3.864 4.222 6.326
1.147 1.254 1.879
0.000 0.000 0.000
2.506 2.738 4.103
```

Output
Space-group type: No. 71
Total magnetization: 0.0 μB/f.u.
E: -14.638 eV/cell

***

This record from Alexandria via LeMat-Bulk describes a relaxed structure of Y2ZnAu. The functional is PBE.

Geometry as POSCAR:
```
Y2ZnAu
1.0
7.712 0.000 0.000
0.000 7.712 0.000
3.856 3.856 3.616
Zn Au Y
2 2 4
Cartesian
3.856 7.712 1.808
3.856 3.856 0.000
0.000 0.000 0.000
7.712 3.856 1.808
9.640 9.690 2.712
5.834 1.928 0.904
1.878 5.784 0.904
5.784 5.734 2.712
```

Output
Space-group type: No. 122
Total magnetization: 0.0 μB/f.u.
E: -36.640 eV/cell

***

This record from Alexandria via LeMat-Bulk describes a relaxed structure of YZnAu. The functional is PBE.

Geometry as POSCAR:
```
YZnAu
1.0
4.512 0.000 0.000
0.000 7.071 0.000
0.000 0.000 7.897
Y Au Zn
4 4 4
Cartesian
2.256 3.536 0.247
0.000 3.536 4.605
2.256 0.000 0.657
0.000 0.000 4.195
2.256 5.154 3.109
0.000 1.618 7.057
0.000 5.453 7.057
2.256 1.918 3.109
0.000 2.041 1.774
0.000 5.031 1.774
2.256 1.495 5.722
2.256 5.576 5.722
```

Output
Space-group type: No. 44
Total magnetization: 0.0 μB/f.u.
E: -52.041 eV/cell

***

This record from Alexandria via LeMat-Bulk describes a relaxed structure of YZnAu. The functional is PBE.

Geometry as POSCAR:
```
YZnAu
1.0
-1.979 -2.772 2.983
3.243 -1.569 -2.743
2.485 0.859 2.446
Zn Au Y
1 1 1
Cartesian
-0.238 -2.371 1.074
1.502 -1.970 -0.834
1.243 0.429 1.223
```

Output
Space-group type: No. 187
Total magnetization: 0.0 μB/f.u.
E: -13.006 eV/cell

***

This record from Alexandria via LeMat-Bulk describes a relaxed structure of YZn2Au2. The functional is PBE.

Geometry as POSCAR:
```
YZn2Au2
1.0
3.862 0.000 0.000
0.000 3.862 0.000
0.000 0.000 6.646
Y Zn Au
1 2 2
Cartesian
0.000 0.000 0.000
0.000 1.931 3.323
1.931 0.000 3.323
1.931 1.931 1.413
1.931 1.931 5.234
```

Output
Space-group type: No. 123
Excess energy over the best structure of this formula in the dataset: 0.18 eV/f.u.
Total magnetization: 0.0 μB/f.u.
E: -18.115 eV/cell

***

This record from Alexandria via LeMat-Bulk describes a relaxed structure of Y3Zn6Au20. The functional is PBE.

Geometry as POSCAR:
```
Y3Zn6Au20
1.0
-1.772 5.442 7.211
-8.541 0.502 3.398
-1.915 -3.709 8.205
Au Zn Y
20 6 3
Cartesian
-0.613 1.883 2.496
-4.208 -2.252 6.541
-1.252 -2.425 5.365
-7.581 1.386 11.663
-5.498 3.460 10.610
-1.159 3.558 4.715
-6.731 -1.225 8.204
-3.484 1.145 10.033
-8.745 1.091 8.781
-4.648 0.850 7.151
-6.248 -0.955 5.062
-1.866 -0.542 7.861
-6.662 3.165 7.727
-4.115 3.732 5.891
-0.663 -1.284 2.840
-5.566 -0.930 11.087
-6.199 2.212 4.718
-2.956 0.174 1.176
-1.822 2.275 7.555
-5.585 0.329 2.222
-8.042 3.334 9.959
-8.108 -0.868 10.415
-4.186 -1.099 8.855
-5.000 1.400 12.166
-7.229 0.835 6.648
-4.121 3.103 8.399
0.000 0.000 0.000
-3.057 0.559 4.703
-9.171 1.676 14.110
```

Output
Space-group type: No. 225
Total magnetization: 0.0 μB/f.u.
E: -100.921 eV/cell

***

This record from Alexandria via LeMat-Bulk describes a relaxed structure of Y5Zn4Au. The functional is PBE.

Geometry as POSCAR:
```
Y5Zn4Au
1.0
-3.146 -1.727 -0.241
1.277 -2.620 2.108
-5.878 8.706 14.379
Zn Au Y
4 1 5
Cartesian
-4.683 6.936 11.455
-3.527 5.225 8.629
-2.351 3.481 5.750
-1.195 1.770 2.923
0.000 0.000 0.000
-5.048 3.919 10.995
-6.220 5.653 13.861
-3.874 2.179 8.123
-2.700 0.440 5.251
-1.528 -1.295 2.385
```

Output
Space-group type: No. 123
Total magnetization: 0.0 μB/f.u.
E: -45.332 eV/cell

***

This record from Alexandria via LeMat-Bulk describes a relaxed structure of Y2ZnAu. The functional is PBE.

Geometry as POSCAR:
```
Y2ZnAu
1.0
5.936 -0.018 0.025
4.854 3.417 0.025
1.550 0.488 4.590
Y Au Zn
2 1 1
Cartesian
3.013 0.949 1.327
1.675 0.528 4.410
9.521 2.999 3.520
5.852 1.843 2.291
```

Output
Space-group type: No. 8
Total magnetization: 0.0 μB/f.u.
E: -19.365 eV/cell

***

This record from Alexandria via LeMat-Bulk describes a relaxed structure of YZnAu2. The functional is PBE.

Geometry as POSCAR:
```
YZnAu2
1.0
-2.740 2.541 2.246
-3.949 1.121 -6.084
-5.711 -8.115 2.211
Au Zn Y
8 4 4
Cartesian
-6.703 -2.789 -2.906
-5.697 -1.665 1.280
-7.274 -6.966 1.121
-7.193 -4.990 3.216
-7.933 -2.676 -0.304
-4.467 -1.777 -1.322
-5.126 2.513 -2.747
-5.207 0.537 -4.842
-3.131 -2.413 1.026
-8.830 -4.782 0.984
-9.269 -2.040 -2.652
-3.570 0.329 -2.610
-5.581 -4.561 0.467
-4.005 0.741 0.624
-6.819 0.108 -2.093
-8.395 -5.194 -2.250
```

Output
Space-group type: No. 62
Total magnetization: 0.0 μB/f.u.
E: -67.394 eV/cell

***

This record from Alexandria via LeMat-Bulk describes a relaxed structure of YZn2Au2. The functional is PBE.

Geometry as POSCAR:
```
YZn2Au2
1.0
4.290 0.000 0.000
0.000 7.425 0.000
0.000 0.000 12.184
Y Zn Au
4 8 8
Cartesian
1.073 4.706 8.382
3.218 6.432 2.290
1.073 0.993 9.894
3.218 2.720 3.802
3.218 2.212 7.638
1.073 3.981 11.454
3.218 7.157 5.361
1.073 1.501 1.545
1.073 5.214 4.547
1.073 0.268 6.823
3.218 3.444 0.731
3.218 5.924 10.639
3.218 3.199 10.103
3.218 6.911 8.173
1.073 6.465 0.017
1.073 4.227 2.081
3.218 0.960 12.168
3.218 4.673 6.109
1.073 2.753 6.075
1.073 0.514 4.011
```

Output
Space-group type: No. 62
Excess energy over the best structure of this formula in the dataset: 0.02 eV/f.u.
Total magnetization: 0.0 μB/f.u.
E: -73.089 eV/cell

***

This record from Alexandria via LeMat-Bulk describes a relaxed structure of YZnAu4. The functional is PBE.

Geometry as POSCAR:
```
YZnAu4
1.0
5.113 -0.359 1.342
0.777 8.732 1.040
-0.167 -0.359 5.283
Au Y Zn
8 2 2
Cartesian
3.700 3.106 1.833
0.706 3.106 4.069
2.023 4.908 5.833
3.573 -0.359 2.491
5.017 4.908 3.597
1.775 7.472 2.378
3.948 0.543 5.288
1.373 -0.359 4.134
1.055 1.686 1.413
4.668 6.328 6.253
2.437 5.135 3.264
3.286 2.880 4.401
```

Output
Space-group type: No. 12
Total magnetization: 0.0 μB/f.u.
E: -47.261 eV/cell

***

This record from Alexandria via LeMat-Bulk describes a relaxed structure of Y2ZnAu. The functional is PBE.

Geometry as POSCAR:
```
Y2ZnAu
1.0
-1.852 2.844 1.678
-2.280 0.290 -3.009
-4.254 -4.420 2.797
Y Zn Au
2 1 1
Cartesian
-4.048 -4.206 2.661
-3.333 0.250 0.168
-2.150 -2.234 1.413
-5.236 -1.727 1.419
```

Output
Space-group type: No. 99
Total magnetization: 1.3 μB/f.u.
E: -19.174 eV/cell